A plane-wave DFT calculation with PBE-GGA was carried out for crystalline KAgHgPb at its relaxed geometry.

Computed properties:
The theoretical density comes out at 8.26 g cm⁻³. Its spin magnetization is 0.00 μB per formula unit. As for the crystal system: cubic. The value obtained for the formation energy is -0.01 eV per atom.

a = 5.4036 Å, b = 5.4036 Å, c = 5.4036 Å
α = 60.00°, β = 60.00°, γ = 60.00°
Closest atoms and distances in Å follow each position.
Atoms (fractional coordinates):
Ag1 0.5000 0.5000 0.5000  4 Pb 3.31, 4 K 3.31
Pb1 0.7500 0.7500 0.7500  4 Hg 3.31, 4 Ag 3.31
Hg1 0.0000 0.0000 0.0000  4 Pb 3.31, 4 K 3.31
K1 0.2500 0.2500 0.2500  4 Hg 3.31, 4 Ag 3.31